Record 1
Below is crystalline MgZn3As at its relaxed geometry, with properties calculated at the PBE-GGA level.

abc: 4.9691 4.9691 4.9691
angles: 90.00 90.00 90.00
Positions (direct):
Mg 0.0000 0.0000 0.0000
Zn 0.0000 0.5000 0.5000
Zn 0.5000 0.0000 0.5000
Zn 0.5000 0.5000 0.0000
As 0.5000 0.5000 0.5000

Computed properties:
As for the crystal system: cubic. The calculation puts the formation energy at 375 meV per atom. For the total magnetization, the calculation gives 0.0 μB per cell. The uncorrected energy is -1.638 eV/atom. The energy above the most stable polymorph in this dataset is 0 meV/atom.



Record 2
Below is crystalline Pm2Sc2Ge3 at its relaxed geometry, with properties calculated at the PBE-GGA level.

abc: 10.2942 4.4537 7.9539
angles: 90.00 97.81 90.00
Positions (direct):
Pm 0.1288 0.0000 0.3483
Pm 0.3712 0.5000 0.6517
Pm 0.6288 0.5000 0.3483
Pm 0.8712 0.0000 0.6517
Sc 0.1437 0.5000 0.9434
Sc 0.3563 0.0000 0.0566
Sc 0.6437 0.0000 0.9434
Sc 0.8563 0.5000 0.0566
Ge 0.0000 0.0000 0.0000
Ge 0.1909 0.0000 0.7357
Ge 0.3091 0.5000 0.2643
Ge 0.5000 0.5000 0.0000
Ge 0.6909 0.5000 0.7357
Ge 0.8091 0.0000 0.2643

Computed properties:
As for the crystal system: monoclinic. The calculation puts the formation energy at -673 meV per atom. For the total magnetization, the calculation gives 0.0 μB per cell. The uncorrected energy is -5.819 eV/atom.



Record 3
Below is crystalline TaTlCuS4 at its relaxed geometry, with properties calculated at the PBE-GGA level.

abc: 5.6548 7.0954 9.6994
angles: 90.00 105.84 90.00
Positions (direct):
Ta 0.1313 0.2500 0.2758
Ta 0.8687 0.7500 0.7242
Tl 0.3150 0.7500 0.1393
Tl 0.6850 0.2500 0.8607
Cu 0.3639 0.7500 0.7182
Cu 0.6361 0.2500 0.2818
S 0.1159 0.0052 0.7269
S 0.1159 0.4948 0.7269
S 0.2908 0.2500 0.0809
S 0.4713 0.2500 0.4700
S 0.5287 0.7500 0.5300
S 0.7092 0.7500 0.9190
S 0.8841 0.5052 0.2731
S 0.8841 0.9948 0.2731

Computed properties:
As for the crystal system: monoclinic. For the total magnetization, the calculation gives 0.0 μB per cell. The uncorrected energy is -5.514 eV/atom.